[1]
A plane-wave DFT calculation with PBE-GGA was carried out for an optimized crystal structure of Dy6ScAg5.

```
Dy6ScAg5
1.0
-2.581 3.651 7.852
2.581 -3.651 7.852
2.581 3.651 -7.852
Dy Sc Ag
6 1 5
Direct
0.077 0.329 0.748
0.236 0.000 0.236
0.419 0.671 0.748
0.581 0.329 0.252
0.764 0.000 0.764
0.923 0.671 0.252
0.500 0.500 0.000
0.000 0.500 0.500
0.168 0.168 0.000
0.351 0.851 0.500
0.649 0.149 0.500
0.832 0.832 0.000
```

calculated formation energy = -2.6 eV/f.u.
total magnetic moment = 0.00 Bohr magnetons per cell

---

[2]
A plane-wave DFT calculation with PBE-GGA was carried out for an optimized crystal structure of Tb4SmHg4.

```
Tb4SmHg4
1.0
9.568 0.000 0.000
0.000 9.568 0.000
0.000 0.000 5.558
Tb Sm Hg
8 2 8
Direct
0.099 0.839 0.155
0.161 0.599 0.655
0.339 0.901 0.655
0.401 0.661 0.155
0.599 0.339 0.845
0.661 0.099 0.345
0.839 0.401 0.345
0.901 0.161 0.845
0.250 0.250 0.750
0.750 0.750 0.250
0.044 0.146 0.346
0.146 0.456 0.154
0.354 0.044 0.154
0.456 0.354 0.346
0.544 0.646 0.654
0.646 0.956 0.846
0.854 0.544 0.846
0.956 0.854 0.654
```

calculated formation energy = -2.3 eV/f.u.
total magnetic moment = 0.00 Bohr magnetons per cell

---

[3]
A plane-wave DFT calculation with PBE-GGA was carried out for an optimized crystal structure of Tl2Sb2Te5.

```
Tl2Sb2Te5
1.0
6.899 -3.122 0.000
6.899 3.122 0.000
-3.686 0.000 7.497
Tl Sb Te
2 2 5
Direct
0.104 0.104 0.409
0.896 0.896 0.591
0.372 0.372 0.081
0.628 0.628 0.919
0.138 0.138 0.968
0.367 0.367 0.715
0.500 0.500 0.500
0.633 0.633 0.285
0.862 0.862 0.032
```

total magnetic moment = 0.00 Bohr magnetons per cell
total energy = -3.290 eV/atom

---

[4]
A plane-wave DFT calculation with PBE-GGA was carried out for an optimized crystal structure of LaHoMg2Au4.

```
LaHoMg2Au4
1.0
2.415 1.394 8.772
-2.415 1.394 8.772
0.000 -2.789 8.772
La Ho Mg Au
1 1 2 4
Direct
0.000 0.000 0.000
0.500 0.500 0.500
0.244 0.244 0.244
0.756 0.756 0.756
0.122 0.122 0.122
0.390 0.390 0.390
0.610 0.610 0.610
0.878 0.878 0.878
```

calculated formation energy = -6.1 eV/f.u.
total magnetic moment = 0.00 Bohr magnetons per cell

---

[5]
A plane-wave DFT calculation with PBE-GGA was carried out for an optimized crystal structure of Sr4ZnHg3.

```
Sr4ZnHg3
1.0
4.406 0.000 0.000
0.000 4.988 0.000
0.000 0.000 12.278
Sr Zn Hg
4 1 3
Direct
0.000 0.000 0.000
0.000 0.500 0.280
0.500 0.000 0.495
0.500 0.500 0.783
0.500 0.000 0.209
0.000 0.000 0.720
0.000 0.500 0.559
0.500 0.500 0.070
```

calculated formation energy = -3.4 eV/f.u.
total magnetic moment = 0.00 Bohr magnetons per cell
excess energy over the best structure of this formula in the dataset = 17 meV per atom

---

[6]
A plane-wave DFT calculation with PBE-GGA was carried out for an optimized crystal structure of Na3Mg.

```
Na3Mg
1.0
3.449 0.000 0.000
0.000 5.312 0.000
0.000 0.000 7.004
Na Mg
3 1
Direct
0.000 0.000 0.000
0.500 0.500 0.265
0.500 0.500 0.735
0.000 0.000 0.500
```

calculated formation energy = 0.3 eV/f.u.
total magnetic moment = 0.00 Bohr magnetons per cell

---

[7]
A plane-wave DFT calculation with PBE-GGA was carried out for an optimized crystal structure of ThTl3Pd12.

```
ThTl3Pd12
1.0
4.143 0.000 0.000
0.000 4.143 0.000
0.000 0.000 16.334
Th Tl Pd
1 3 12
Direct
0.000 0.000 0.000
0.000 0.000 0.256
0.000 0.000 0.500
0.000 0.000 0.744
0.000 0.500 0.128
0.000 0.500 0.377
0.000 0.500 0.623
0.000 0.500 0.872
0.500 0.000 0.128
0.500 0.000 0.377
0.500 0.000 0.623
0.500 0.000 0.872
0.500 0.500 0.000
0.500 0.500 0.251
0.500 0.500 0.500
0.500 0.500 0.749
```

calculated formation energy = -6.4 eV/f.u.
total magnetic moment = 0.00 Bohr magnetons per cell

---

[8]
A plane-wave DFT calculation with PBE-GGA was carried out for an optimized crystal structure of Sm6DyEr4.

```
Sm6DyEr4
1.0
-3.306 3.306 8.545
3.306 -3.306 8.545
3.306 3.306 -8.545
Sm Dy Er
6 1 4
Direct
0.000 0.500 0.500
0.013 0.636 0.000
0.364 0.364 0.377
0.500 0.000 0.500
0.636 0.013 0.000
0.987 0.987 0.623
0.000 0.000 0.000
0.193 0.193 0.641
0.448 0.807 0.000
0.552 0.552 0.359
0.807 0.448 0.000
```

calculated formation energy = 3.4 eV/f.u.
total magnetic moment = 0.00 Bohr magnetons per cell
excess energy over the best structure of this formula in the dataset = 190 meV per atom

---

[9]
A plane-wave DFT calculation with PBE-GGA was carried out for an optimized crystal structure of LiNiSb2Te.

```
LiNiSb2Te
1.0
4.871 0.000 0.000
0.000 4.871 0.000
0.000 0.000 5.028
Li Ni Sb Te
1 1 2 1
Direct
0.000 0.000 0.000
0.500 0.500 0.500
0.000 0.500 0.000
0.500 0.000 0.000
0.000 0.000 0.500
```

total magnetic moment = 0.32 Bohr magnetons per cell
excess energy over the best structure of this formula in the dataset = 581 meV per atom

---

[10]
A plane-wave DFT calculation with PBE-GGA was carried out for an optimized crystal structure of MgAs2SeBr.

```
MgAs2SeBr
1.0
5.064 0.000 0.000
0.000 5.064 0.000
0.000 0.000 5.424
Mg As Se Br
1 2 1 1
Direct
0.000 0.000 0.000
0.000 0.500 0.500
0.500 0.000 0.500
0.500 0.500 0.500
0.500 0.500 0.000
```

total magnetic moment = 0.00 Bohr magnetons per cell
excess energy over the best structure of this formula in the dataset = 50 meV per atom

---

[11]
A plane-wave DFT calculation with PBE-GGA was carried out for an optimized crystal structure of BeTlIr2.

```
BeTlIr2
1.0
2.950 0.000 0.000
0.000 2.950 0.000
0.000 0.000 6.797
Be Tl Ir
1 1 2
Direct
0.000 0.000 0.000
0.000 0.000 0.500
0.500 0.500 0.197
0.500 0.500 0.803
```

calculated formation energy = 0.5 eV/f.u.
total magnetic moment = 0.00 Bohr magnetons per cell
excess energy over the best structure of this formula in the dataset = 0 meV per atom

---

[12]
A plane-wave DFT calculation with PBE-GGA was carried out for an optimized crystal structure of Sr8CdN4.

```
Sr8CdN4
1.0
9.618 -1.931 0.000
9.618 1.931 0.000
-9.574 0.000 9.634
Sr Cd N
8 1 4
Direct
0.000 0.000 0.000
0.009 0.009 0.270
0.043 0.043 0.695
0.303 0.303 0.941
0.389 0.389 0.360
0.649 0.649 0.606
0.683 0.683 0.030
0.692 0.692 0.301
0.346 0.346 0.651
0.015 0.015 0.476
0.190 0.190 0.164
0.502 0.502 0.137
0.677 0.677 0.825
```

total magnetic moment = 0.64 Bohr magnetons per cell
excess energy over the best structure of this formula in the dataset = 0 meV per atom